1.
Material: ErUB
Method: DFT, PBE
State: relaxed

Results
As for the symmetry: Pmmn. As for the energy relative to the elements: 199 meV/atom. The uncorrected energy comes out at -7.311 eV/atom.

```
ErUB
1.0
3.861 0.000 0.000
0.000 4.529 0.000
0.000 0.000 6.619
Er U B
2 2 2
Direct
0.250 0.250 0.069 Er
0.750 0.750 0.931 Er
0.250 0.250 0.532 U
0.750 0.750 0.468 U
0.250 0.750 0.235 B
0.750 0.250 0.765 B
```

---

2.
Material: Al4Ag
Method: DFT, PBE
State: relaxed

Results
As for the symmetry: R-3m. Its polymorph energy (0 for the lowest one) is 0 meV/atom. As for the energy relative to the elements: -9 meV/atom. The uncorrected energy comes out at -3.574 eV/atom.

```
Al4Ag
1.0
2.881 0.000 0.000
-1.440 2.495 0.000
0.000 0.000 34.875
Al Ag
12 3
Direct
0.000 0.000 0.101 Al
0.000 0.000 0.299 Al
0.000 0.000 0.701 Al
0.000 0.000 0.899 Al
0.333 0.667 0.367 Al
0.333 0.667 0.566 Al
0.333 0.667 0.767 Al
0.333 0.667 0.966 Al
0.667 0.333 0.034 Al
0.667 0.333 0.233 Al
0.667 0.333 0.434 Al
0.667 0.333 0.633 Al
0.000 0.000 0.500 Ag
0.333 0.667 0.167 Ag
0.667 0.333 0.833 Ag
```

---

3.
Material: Cs2CeCuCl6
Method: DFT, PBE
State: relaxed

Results
For the formation energy from raw total energies, the calculation gives -1.771 eV per atom. As for the symmetry: P-3m1. Its polymorph energy (0 for the lowest one) is 0 meV/atom. The uncorrected energy comes out at -4.052 eV/atom.

```
Cs2CeCuCl6
1.0
7.634 0.000 0.000
-3.817 6.611 0.000
0.000 0.000 6.468
Cs Ce Cu Cl
2 1 1 6
Direct
0.333 0.667 0.215 Cs
0.667 0.333 0.785 Cs
0.000 0.000 0.500 Ce
0.000 0.000 0.000 Cu
0.162 0.324 0.766 Cl
0.162 0.838 0.766 Cl
0.324 0.162 0.234 Cl
0.676 0.838 0.766 Cl
0.838 0.162 0.234 Cl
0.838 0.676 0.234 Cl
```